(1)
Compound: Te2AuCl
Source: Alexandria
Functional: GGA-PBE
Structure: optimized geometry

Calculated values
- Energy relative to the elements, uncorrected: 24 kJ per mole of atoms
- Volume: 25.394 Å³ per atom

Cell: 3.3626 3.3626 8.9836 Å, 90.00 90.00 90.00°
Last column: nearest neighbours and their distance in Å.
Element x y z (fractional)
Cl 0.5000 0.5000 0.6843  4 Au 2.90
Te 0.5000 0.5000 0.2898  4 Au 3.04, 8 Te 3.36
Te 0.0000 0.0000 0.0258  8 Te 3.36
Au 0.0000 0.0000 0.5001  4 Cl 2.90, 4 Te 3.04

***

(2)
Compound: YTe2Rh
Source: Alexandria
Functional: GGA-PBE
Structure: optimized geometry

Calculated values
- Energy relative to the elements, uncorrected: -78 kJ per mole of atoms
- Volume: 31.436 Å³ per atom

Cell: 7.5313 7.5313 7.5313 Å, 149.90 143.90 47.69°
Last column: nearest neighbours and their distance in Å.
Element x y z (fractional)
Te 0.3895 0.3895 0.0000  2 Rh 2.74, 2 Y 3.02
Te 0.1105 0.1105 0.0000  2 Rh 2.74, 2 Y 3.02
Rh 0.2500 0.7500 0.5000  4 Te 2.74, 4 Y 3.04
Y 0.7500 0.2500 0.5000  4 Te 3.02, 4 Rh 3.04

***

(3)
Compound: DyEr2Zn
Source: Alexandria
Functional: GGA-PBE
Structure: optimized geometry

Calculated values
- Formation enthalpy at 0 K: -23.9 kJ/mol of formula units
- Volume: 27.950 Å³ per atom

Cell: 3.5690 3.5690 10.3425 Å, 80.06 80.06 60.00°
Last column: nearest neighbours and their distance in Å.
Element x y z (fractional)
Dy 0.5003 0.5003 0.4990  6 Er 3.53-3.54, 6 Dy 3.57
Er 0.2611 0.2611 0.2167  3 Zn 3.00
Er 0.0723 0.0723 0.7831  3 Zn 3.02
Zn 0.6663 0.6663 0.0012  6 Er 3.00-3.02

***

(4)
Compound: La2TcAu
Source: Alexandria
Functional: GGA-PBE
Structure: optimized geometry

Calculated values
- Formation enthalpy at 0 K: -99.0 kJ/mol of formula units
- Volume: 25.779 Å³ per atom

Cell: 4.7956 3.9404 5.8018 Å, 70.14 90.00 90.00°
Last column: nearest neighbours and their distance in Å.
Element x y z (fractional)
Tc 0.0000 0.7392 0.3954  1 La 2.43
La 0.5000 0.2569 0.3629  3 Au 3.05-3.12, 4 Tc 3.10-3.11
La 0.0000 0.9619 0.9506  1 Tc 2.43
Au 0.5000 0.5420 0.7911  7 La 3.05-3.22, 2 Tc 3.23

***

(5)
Compound: V2PdRuS
Source: Alexandria
Functional: GGA-PBE
Structure: optimized geometry

Calculated values
- Energy relative to the elements, uncorrected: 156 kJ per mole of atoms
- Volume: 19.875 Å³ per atom

Cell: 4.5349 4.8323 4.5349 Å, 90.00 90.00 90.00°
Last column: nearest neighbours and their distance in Å.
Element x y z (fractional)
V 0.0000 0.0000 0.5000  2 Pd 2.27
V 0.5000 0.0000 0.0000  2 Pd 2.27
S 0.5000 0.5000 0.5000  4 Ru 3.21, 8 V 3.31
Ru 0.0000 0.5000 0.0000  2 Pd 2.42
Pd 0.0000 0.0000 0.0000  4 V 2.27, 2 Ru 2.42

***

(6)
Compound: LiTlSnCl4
Source: Alexandria
Functional: GGA-PBE
Structure: optimized geometry

Calculated values
- Energy relative to the elements, uncorrected: -118 kJ per mole of atoms
- Volume: 30.282 Å³ per atom

Cell: 7.1864 7.1326 8.7724 Å, 90.00 109.47 90.00°
Last column: nearest neighbours and their distance in Å.
Element x y z (fractional)
Li 0.7452 0.2500 0.6851  4 Cl 2.31-2.38
Li 0.2548 0.7500 0.3150  4 Cl 2.31-2.38
Cl 0.5215 0.2500 0.4153  1 Li 2.38, 1 Sn 2.64
Cl 0.4785 0.7500 0.5847  1 Li 2.38, 1 Sn 2.64
Cl 0.4417 0.7500 0.1462  1 Li 2.31
Cl 0.0318 0.4976 0.2838  1 Li 2.36
Cl 0.5583 0.2500 0.8538  1 Li 2.31
Cl 0.0318 0.0024 0.2838  1 Li 2.36
Cl 0.9682 0.9976 0.7162  1 Li 2.36
Cl 0.9682 0.5024 0.7162  1 Li 2.36
Tl 0.2727 0.2500 0.0386  2 Cl 3.01-3.19
Tl 0.7273 0.7500 0.9614  2 Cl 3.01-3.19
Sn 0.2133 0.2500 0.5158  3 Cl 2.64-2.68
Sn 0.7867 0.7500 0.4842  3 Cl 2.64-2.68